Entry from Alexandria: an optimized crystal structure of ZnPbAu2 (GGA-PBE).

The structure in POSCAR format:
```
ZnPbAu2
1.0
-2.131 -0.327 -2.371
1.946 -2.504 -1.404
-3.615 -5.019 3.942
Zn Au Pb
1 2 1
Direct
0.500 0.500 0.750
0.000 0.000 0.947
0.000 0.000 0.553
0.500 0.500 0.250
```

Properties
- VASP energy (eV per atom) = -2.979
- M_tot (μB/cell) = 0.000
- space group = Pmmm, No. 47
- crystal system = orthorhombic
- ΔE_f (eV per atom) = -0.09
- relative energy among the computed polymorphs (meV/atom) = 39